A relaxed Ac2Cd3Sn crystal, computed with PBE.

Cell and atoms, written as POSCAR:
```
Ac2Cd3Sn
1.0
4.173 0.000 0.000
0.000 5.061 0.000
0.000 0.000 8.724
Ac Cd Sn
2 3 1
Direct
0.000 0.000 0.000
0.000 0.500 0.486
0.500 0.000 0.669
0.500 0.500 0.151
0.500 0.500 0.820
0.500 0.000 0.332
```

Values from the calculation:
* energy above the most stable polymorph in this dataset: 0.024 eV per atom
* size of the total moment: 0.0 μB per formula unit
* energy of formation: -0.425 eV per atom
* DFT total energy: -2.919 eV/atom